(1)
! PBE-GGA LaYC2, optimized geometry; values from VASP
&SYSTEM
  ibrav = 0, nat = 8, ntyp = 3
/
ATOMIC_SPECIES
La 138.91 La.upf
Y 88.91 Y.upf
C 12.01 C.upf
CELL_PARAMETERS angstrom
-2.762 2.762 5.779
2.762 -2.762 5.779
2.762 2.762 -5.779
ATOMIC_POSITIONS angstrom
La 0.000 0.000 0.000
La 0.000 2.762 2.889
Y 2.762 0.000 2.889
Y 0.000 0.000 5.779
C 1.381 -1.300 4.334
C 1.462 1.381 1.445
C 1.381 4.061 -1.445
C 1.300 1.381 7.223
! **VASP energy**: -6.970 eV per atom
! **ΔE to the lowest computed polymorph**: 0.000 eV/atom
! **Calculated formation energy**: 489 meV/atom

(2)
! PBE-GGA HfZrPa, optimized geometry; values from VASP
&SYSTEM
  ibrav = 0, nat = 6, ntyp = 3
/
ATOMIC_SPECIES
Hf 178.49 Hf.upf
Zr 91.22 Zr.upf
Pa 231.04 Pa.upf
CELL_PARAMETERS angstrom
2.750 -1.602 0.000
2.750 1.602 0.000
-1.841 0.000 16.033
ATOMIC_POSITIONS angstrom
Hf 0.920 0.000 1.251
Hf 2.738 0.000 14.782
Zr 0.869 0.000 12.148
Zr 2.789 0.000 3.885
Pa 0.797 0.000 6.616
Pa 2.861 0.000 9.417
! **VASP energy**: -9.302 eV per atom
! **ΔE to the lowest computed polymorph**: 0.003 eV/atom
! **Calculated formation energy**: 31 meV/atom

(3)
! PBE-GGA Tl2N2F3, optimized geometry; values from VASP
&SYSTEM
  ibrav = 0, nat = 7, ntyp = 3
/
ATOMIC_SPECIES
Tl 204.38 Tl.upf
N 14.01 N.upf
F 19.00 F.upf
CELL_PARAMETERS angstrom
3.858 0.000 0.000
1.329 6.152 0.000
0.386 2.062 6.984
ATOMIC_POSITIONS angstrom
Tl 1.002 1.436 0.892
Tl 4.572 6.778 6.093
N 2.677 4.638 3.619
N 2.897 3.576 3.365
F 1.333 2.165 5.850
F 2.594 3.076 0.000
F 4.241 6.048 1.135
! **Formation energy from raw total energies**: -1.15 eV per atom
! **VASP energy**: -5.010 eV per atom

(4)
! PBE-GGA Be4TlPb, optimized geometry; values from VASP
&SYSTEM
  ibrav = 0, nat = 6, ntyp = 3
/
ATOMIC_SPECIES
Be 9.01 Be.upf
Tl 204.38 Tl.upf
Pb 207.20 Pb.upf
CELL_PARAMETERS angstrom
0.000 3.605 3.605
3.605 0.000 3.605
3.605 3.605 0.000
ATOMIC_POSITIONS angstrom
Be 0.902 0.902 0.902
Be 2.704 2.704 0.902
Be 2.704 0.902 2.704
Be 0.902 2.704 2.704
Tl 3.605 3.605 3.605
Pb 5.408 5.408 5.408
! **VASP energy**: -2.789 eV per atom
! **Calculated formation energy**: 707 meV/atom